No. 1
# Cd2HgP | Alexandria | PBE | optimized geometry
data_Cd2HgP
_cell_length_a 3.942
_cell_length_b 3.761
_cell_length_c 6.632
_cell_angle_alpha 90.00
_cell_angle_beta 107.02
_cell_angle_gamma 90.00
_space_group_name_H-M_alt 'P 1 m 1'
_space_group_IT_number 6
loop_
_space_group_symop_operation_xyz
'x,y,z'
'x,-y,z'
loop_
_atom_site_label
_atom_site_fract_x
_atom_site_fract_y
_atom_site_fract_z
Cd1 0.000 0.000 0.000
Cd2 0.301 0.500 0.595
Hg1 0.702 0.000 0.400
P1 0.502 0.500 0.005
# E_form = 126 meV/atom

No. 2
# Cd2HgP | Alexandria | PBE | optimized geometry
data_Cd2HgP
_cell_length_a 3.149
_cell_length_b 3.149
_cell_length_c 8.910
_cell_angle_alpha 90.00
_cell_angle_beta 90.00
_cell_angle_gamma 90.00
_space_group_name_H-M_alt 'P 4 m m'
_space_group_IT_number 99
loop_
_space_group_symop_operation_xyz
'x,y,z'
'-y,x,z'
'-x,-y,z'
'y,-x,z'
'-x,y,z'
'y,x,z'
'x,-y,z'
'-y,-x,z'
loop_
_atom_site_label
_atom_site_fract_x
_atom_site_fract_y
_atom_site_fract_z
Cd1 0.000 0.000 0.000
Cd2 0.500 0.500 0.260
Hg1 0.000 0.000 0.530
P1 0.500 0.500 0.800
# E_form = 312 meV/atom

No. 3
# Cd2HgP2 | Alexandria | PBE | optimized geometry
data_Cd2HgP2
_cell_length_a 4.885
_cell_length_b 4.885
_cell_length_c 9.450
_cell_angle_alpha 90.00
_cell_angle_beta 90.00
_cell_angle_gamma 90.00
_space_group_name_H-M_alt 'I 4/m m m'
_space_group_IT_number 139
_space_group_name_Hall '-I 4 2'
loop_
_atom_site_label
_atom_site_fract_x
_atom_site_fract_y
_atom_site_fract_z
Cd1 0.000 0.500 0.250
Hg1 0.000 0.000 0.000
P1 0.000 0.000 0.383
# E_form = 64 meV/atom
# Excess energy over the best structure of this formula in the dataset = 0 meV per atom